1.
The following is a DFT calculation (PBE-GGA) of crystalline YIrPt3 at its relaxed geometry.

Lattice parameters (Å, degrees): 4.872 4.872 4.872 90.00 90.00 90.00
Last column: magnetic moment on the atom in μB.
Element x y z (fractional)
Y (0.500, 0.500, 0.500)  -0.01
Ir (0.000, 0.000, 0.000)  0.62
Pt (0.000, 0.500, 0.000)  0.14
Pt (0.000, 0.000, 0.500)  0.42
Pt (0.500, 0.000, 0.000)  0.06

Output
**Raw total energy**: -6.350 eV/atom
**Fermi-level density of states**: 1.09 states/eV per atom
**Symmetry**: Pm-3m, No. 221
**DFT formation energy**: 339 meV/atom
**Distance to the lowest polymorph of the same formula**: 0 meV per atom

=====

2.
The following is a DFT calculation (PBE-GGA) of crystalline YIrPt at its relaxed geometry.

Lattice parameters (Å, degrees): 6.419 6.418 3.030 76.35 76.34 27.31
Element x y z (fractional)
Ir (0.996, 0.996, 0.004)
Pt (0.341, 0.341, 0.659)
Y (0.663, 0.663, 0.337)

Output
**Raw total energy**: -7.467 eV/atom
**Fermi-level density of states**: 1.00 states/eV per atom
**Symmetry**: I4mm, No. 107
**DFT formation energy**: -345 meV/atom
**Distance to the lowest polymorph of the same formula**: 572 meV per atom

=====

Repeat the first record exactly.
The following is a DFT calculation (PBE-GGA) of crystalline YIrPt3 at its relaxed geometry.

Lattice parameters (Å, degrees): 4.872 4.872 4.872 90.00 90.00 90.00
Last column: magnetic moment on the atom in μB.
Element x y z (fractional)
Y (0.500, 0.500, 0.500)  -0.01
Ir (0.000, 0.000, 0.000)  0.62
Pt (0.000, 0.500, 0.000)  0.14
Pt (0.000, 0.000, 0.500)  0.42
Pt (0.500, 0.000, 0.000)  0.06

Output
**Raw total energy**: -6.350 eV/atom
**Fermi-level density of states**: 1.09 states/eV per atom
**Symmetry**: Pm-3m, No. 221
**DFT formation energy**: 339 meV/atom
**Distance to the lowest polymorph of the same formula**: 0 meV per atom

=====

Number 1 is which compound? YIrPt3